Run w
Material: CuHgF4
Method: DFT, GGA-PBE
State: optimized geometry

a = 5.534 Å, b = 5.643 Å, c = 6.440 Å
α = 109.56°, β = 108.92°, γ = 103.91°
Last column: magnetic moment on the atom in μB.
Fractional coordinates of all 12 atoms:
F 0.207 0.387 0.447  0.08
F 0.460 0.244 0.030  0.07
F 0.260 0.940 0.553  0.08
Hg 0.621 0.371 0.742  0.01
Cu 0.852 0.102 0.205  0.73
F 0.540 0.756 0.970  0.07
F 0.930 0.214 0.970  0.07
F 0.793 0.613 0.553  0.08
Hg 0.379 0.629 0.258  0.01
Cu 0.148 0.898 0.795  0.73
F 0.740 0.060 0.447  0.08
F 0.070 0.786 0.030  0.07

---

Run x
Material: CuHgF4
Method: DFT, GGA-PBE
State: optimized geometry

a = 5.555 Å, b = 5.555 Å, c = 6.581 Å
α = 114.97°, β = 114.97°, γ = 90.00°
Last column: magnetic moment on the atom in μB.
Fractional coordinates of all 12 atoms:
F 0.802 0.949 0.251  0.07
F 0.051 0.551 0.749  0.07
F 0.449 0.302 0.251  0.07
Cu 0.000 0.500 0.000  0.68
F 0.198 0.051 0.749  0.07
F 0.302 0.802 0.251  0.07
F 0.949 0.449 0.251  0.07
F 0.698 0.198 0.749  0.07
Hg 0.250 0.250 0.500  0.01
Cu 0.500 0.000 0.000  0.68
Hg 0.750 0.750 0.500  0.01
F 0.551 0.698 0.749  0.07

---

Which one is most stable, and which one is least stable? run x is the most stable of them, while run w is the least stable.

---

Run w
Material: CuHgF2
Method: DFT, GGA-PBE
State: optimized geometry

a = 4.266 Å, b = 4.266 Å, c = 4.266 Å
α = 60.00°, β = 60.00°, γ = 60.00°
Fractional coordinates of all 4 atoms:
F 0.750 0.750 0.750
Hg 0.500 0.500 0.500
F 0.250 0.250 0.250
Cu 0.000 0.000 0.000

---

Run x
Material: CuHgF2
Method: DFT, GGA-PBE
State: optimized geometry

a = 8.021 Å, b = 8.021 Å, c = 8.021 Å
α = 22.64°, β = 22.64°, γ = 22.64°
Last column: magnetic moment on the atom in μB.
Fractional coordinates of all 4 atoms:
F 0.877 0.877 0.877  0.08
Hg 0.000 0.000 0.000  0.00
Cu 0.500 0.500 0.500  0.57
F 0.123 0.123 0.123  0.08

---

Run y
Material: CuHgF2
Method: DFT, GGA-PBE
State: optimized geometry

a = 3.381 Å, b = 4.973 Å, c = 7.906 Å
α = 91.51°, β = 90.00°, γ = 90.00°
Last column: magnetic moment on the atom in μB.
Fractional coordinates of all 8 atoms:
F 0.750 0.899 0.147  0.01
Hg 0.750 0.138 0.609  0.00
Cu 0.750 0.691 0.947  0.07
F 0.250 0.433 0.277  0.00
Cu 0.250 0.309 0.053  0.07
F 0.750 0.567 0.723  0.00
Hg 0.250 0.862 0.391  0.00
F 0.250 0.101 0.853  0.01

---

Which one is most stable, and which one is least stable? run x is the most stable of them, while run w is the least stable.

---

Run w
Material: Cu2HgF
Method: DFT, GGA-PBE
State: optimized geometry

a = 6.531 Å, b = 6.531 Å, c = 5.384 Å
α = 52.66°, β = 52.66°, γ = 90.00°
Fractional coordinates of all 8 atoms:
Hg 0.750 0.250 0.500
Hg 0.000 0.000 0.000
F 0.500 0.500 0.000
Cu 0.572 0.125 0.250
F 0.250 0.750 0.500
Cu 0.178 0.625 0.250
Cu 0.375 0.428 0.750
Cu 0.875 0.822 0.750

---

Run x
Material: Cu2HgF
Method: DFT, GGA-PBE
State: optimized geometry

a = 4.365 Å, b = 4.365 Å, c = 4.365 Å
α = 60.00°, β = 60.00°, γ = 60.00°
Fractional coordinates of all 4 atoms:
Cu 0.250 0.250 0.250
Cu 0.750 0.750 0.750
Hg 0.500 0.500 0.500
F 0.000 0.000 0.000

---

Which one is most stable, and which one is least stable? run w is the most stable of them, while run x is the least stable.

---

Run w
Material: Cu2IF
Method: DFT, GGA-PBE
State: optimized geometry

a = 4.483 Å, b = 4.483 Å, c = 4.483 Å
α = 60.00°, β = 60.00°, γ = 60.00°
Fractional coordinates of all 4 atoms:
Cu 0.250 0.250 0.250
I 0.500 0.500 0.500
Cu 0.750 0.750 0.750
F 0.000 0.000 0.000

---

Run x
Material: Cu2IF
Method: DFT, GGA-PBE
State: optimized geometry

a = 4.901 Å, b = 4.901 Å, c = 7.234 Å
α = 70.20°, β = 70.20°, γ = 90.00°
Fractional coordinates of all 8 atoms:
Cu 0.214 0.625 0.250
Cu 0.536 0.125 0.250
I 0.000 0.000 0.000
Cu 0.875 0.786 0.750
F 0.250 0.750 0.500
I 0.750 0.250 0.500
Cu 0.375 0.464 0.750
F 0.500 0.500 0.000

---

Run y
Material: Cu2IF
Method: DFT, GGA-PBE
State: optimized geometry

a = 3.920 Å, b = 3.920 Å, c = 6.571 Å
α = 72.64°, β = 72.64°, γ = 60.00°
Fractional coordinates of all 4 atoms:
F 0.500 0.500 0.500
Cu 0.864 0.864 0.407
Cu 0.136 0.136 0.593
I 0.000 0.000 0.000

---

Which one is most stable, and which one is least stable? run x is the most stable of them, while run y is the least stable.

---

Run w
Material: CuIF2
Method: DFT, GGA-PBE
State: optimized geometry

a = 8.520 Å, b = 8.520 Å, c = 8.520 Å
α = 22.16°, β = 22.16°, γ = 22.16°
Fractional coordinates of all 4 atoms:
I 0.500 0.500 0.500
F 0.929 0.929 0.929
F 0.071 0.071 0.071
Cu 0.000 0.000 0.000

---

Run x
Material: CuIF2
Method: DFT, GGA-PBE
State: optimized geometry

a = 2.957 Å, b = 8.235 Å, c = 6.938 Å
α = 90.00°, β = 90.00°, γ = 100.47°
Last column: magnetic moment on the atom in μB.
Fractional coordinates of all 8 atoms:
I 0.974 0.949 0.250  0.01
F 0.671 0.352 0.430  0.15
I 0.026 0.051 0.750  0.01
Cu 0.171 0.352 0.250  0.68
F 0.329 0.648 0.930  0.15
F 0.671 0.352 0.070  0.15
F 0.329 0.648 0.570  0.15
Cu 0.829 0.648 0.750  0.68

---

Run y
Material: CuIF2
Method: DFT, GGA-PBE
State: optimized geometry

a = 6.196 Å, b = 6.196 Å, c = 6.220 Å
α = 60.13°, β = 60.13°, γ = 90.00°
Last column: magnetic moment on the atom in μB.
Fractional coordinates of all 8 atoms:
I 0.750 0.250 0.500  -0.11
F 0.875 0.625 0.750  -0.10
F 0.375 0.625 0.750  -0.11
I 0.000 0.000 0.000  -0.11
Cu 0.250 0.750 0.500  -0.67
Cu 0.500 0.500 0.000  -0.67
F 0.375 0.125 0.250  -0.13
F 0.375 0.625 0.250  -0.11

---

Run z
Material: CuIF2
Method: DFT, GGA-PBE
State: optimized geometry

a = 4.431 Å, b = 4.431 Å, c = 4.431 Å
α = 60.00°, β = 60.00°, γ = 60.00°
Fractional coordinates of all 4 atoms:
F 0.250 0.250 0.250
Cu 0.000 0.000 0.000
I 0.500 0.500 0.500
F 0.750 0.750 0.750

---

Which one is most stable, and which one is least stable? run x is the most stable of them, while run z is the least stable.